Entry 1:
20
Lattice="4.028 0.000 0.000 0.000 11.777 -0.190 0.000 -4.117 11.007" Properties=species:S:1:pos:R:3 comment="Ce6Ir3Pt | Alexandria | GGA-PBE | optimized geometry" spacegroup="No. 11" delta_e_f_ev_per_atom=-0.664 magmom_total_mub_per_atom=0.401 e_tot_ev_per_atom=-7.487 pbc="T T T"
Ce 3.021 2.980 6.305
Ce 1.007 4.680 4.513
Ce 3.021 10.533 0.956
Ce 1.007 -2.874 9.861
Ce 3.021 4.353 0.281
Ce 1.007 3.306 10.536
Ce 3.021 7.353 2.811
Ce 1.007 0.307 8.006
Ce 3.021 -0.608 4.786
Ce 1.007 8.268 6.031
Ce 3.021 5.470 8.169
Ce 1.007 2.190 2.649
Ir 3.021 2.113 9.016
Ir 1.007 5.547 1.802
Ir 3.021 6.348 5.454
Ir 1.007 1.312 5.364
Ir 3.021 1.570 0.846
Ir 1.007 6.090 9.971
Pt 3.021 -1.849 7.616
Pt 1.007 9.509 3.202

***

Entry 2:
4
Lattice="4.017 0.000 0.000 0.000 4.127 0.000 0.000 0.000 4.163" Properties=species:S:1:pos:R:3 comment="CeIrPtRh | Alexandria | GGA-PBE | optimized geometry" spacegroup="No. 47" delta_e_f_ev_per_atom=-0.720 magmom_total_mub_per_atom=0.000 e_tot_ev_per_atom=-7.767 pbc="T T T"
Ce 0.000 0.000 0.000
Ir 2.009 0.000 2.082
Pt 0.000 2.064 2.082
Rh 2.009 2.064 0.000

***

Entry 3:
4
Lattice="4.835 0.000 0.000 2.417 4.187 0.000 2.417 1.396 3.948" Properties=species:S:1:pos:R:3 comment="CeScIrPt | Alexandria | GGA-PBE | optimized geometry" spacegroup="No. 216" delta_e_f_ev_per_atom=-0.871 magmom_total_mub_per_atom=0.161 e_tot_ev_per_atom=-7.663 pbc="T T T"
Sc 2.417 1.396 0.987
Ir 0.000 0.000 0.000
Ce 7.252 4.187 2.961
Pt 4.835 2.791 1.974

***

Entry 4:
6
Lattice="-1.782 4.153 -0.393 -4.122 -1.819 -0.532 -0.783 0.181 5.455" Properties=species:S:1:pos:R:3 comment="CeSi2Ir2Pt | Alexandria | GGA-PBE | optimized geometry" spacegroup="No. 123" magmom_total_mub_per_atom=0.094 e_tot_ev_per_atom=-7.039 pbc="T T T"
Ce -0.392 0.090 2.728
Si -0.891 2.077 -0.197
Si -2.061 -0.910 -0.266
Ir -3.533 1.301 3.583
Ir -3.154 1.214 0.947
Pt 0.000 0.000 0.000

***

Entry 5:
10
Lattice="4.093 0.000 0.000 0.000 4.093 0.000 0.000 0.000 10.564" Properties=species:S:1:pos:R:3 comment="Ce2Si3Ir4Pt | Alexandria | GGA-PBE | optimized geometry" spacegroup="No. 115" magmom_total_mub_per_atom=0.034 e_tot_ev_per_atom=-7.862 pbc="T T T"
Ce 2.046 0.000 2.683
Ce 0.000 2.046 7.881
Si 0.000 0.000 5.282
Si 2.046 0.000 9.276
Si 0.000 2.046 1.288
Ir 2.046 2.046 0.000
Ir 0.000 0.000 0.000
Ir 2.046 0.000 6.928
Ir 0.000 2.046 3.635
Pt 2.046 2.046 5.282

***

Entry 6:
10
Lattice="-3.751 -0.502 1.764 -0.353 -3.743 -1.816 4.332 -4.284 7.989" Properties=species:S:1:pos:R:3 comment="Ce2Si4IrPt3 | Alexandria | GGA-PBE | optimized geometry" spacegroup="No. 115" magmom_total_mub_per_atom=0.030 e_tot_ev_per_atom=-7.142 pbc="T T T"
Ce -0.802 -1.312 2.861
Ce 3.083 -5.095 5.103
Si -2.052 -2.123 -0.026
Si 0.000 0.000 0.000
Si 0.875 -2.970 5.953
Si 1.406 -3.436 2.010
Ir 0.114 -4.265 3.969
Pt 2.166 -2.142 3.995
Pt 1.918 -4.002 7.878
Pt 0.362 -2.404 0.085

***

Entry 7:
4
Lattice="4.965 0.000 0.000 2.483 4.300 0.000 2.483 1.433 4.054" Properties=species:S:1:pos:R:3 comment="TbCeIrPt | Alexandria | GGA-PBE | optimized geometry" spacegroup="No. 216" delta_e_f_ev_per_atom=-0.884 magmom_total_mub_per_atom=0.185 e_tot_ev_per_atom=-7.251 polymorph_energy_kj_per_mol_fu=52 pbc="T T T"
Ir 4.965 2.867 2.027
Tb 7.448 4.300 3.041
Ce 2.483 1.433 1.014
Pt 0.000 0.000 0.000

***

Entry 8:
4
Lattice="-2.752 2.040 -1.708 -0.310 -2.924 -2.991 -2.484 -3.700 3.873" Properties=species:S:1:pos:R:3 comment="TbCeIrPt | Alexandria | GGA-PBE | optimized geometry" spacegroup="No. 38" delta_e_f_ev_per_atom=-1.020 magmom_total_mub_per_atom=0.000 e_tot_ev_per_atom=-7.387 polymorph_energy_kj_per_mol_fu=0 pbc="T T T"
Tb -1.101 -0.764 0.861
Ce -4.350 -2.399 -0.145
Ir -3.117 -2.164 2.438
Pt -2.215 -0.916 -1.815

***

Entry 9:
16
Lattice="8.329 0.000 0.000 0.000 8.896 0.387 -4.165 -4.156 5.896" Properties=species:S:1:pos:R:3 comment="Ce8Te4Ir3Pt | Alexandria | GGA-PBE | optimized geometry" spacegroup="No. 166" magmom_total_mub_per_atom=0.364 e_tot_ev_per_atom=-6.873 pbc="T T T"
Ce -2.043 2.278 5.990
Ce 0.000 4.316 3.099
Ce 0.000 0.402 3.224
Ce 2.043 2.278 5.990
Ce 2.122 2.462 0.292
Ce 4.165 4.338 3.058
Ce 4.165 0.424 3.184
Ce 6.207 2.462 0.292
Te 4.165 0.000 0.000
Te 2.082 -2.078 2.948
Te 0.000 0.000 0.000
Te -2.082 -2.078 2.948
Ir 4.165 4.448 0.194
Ir 2.082 2.370 3.141
Ir -2.082 2.370 3.141
Pt 0.000 4.448 0.194

***

Entry 10:
4
Lattice="-1.337 -4.352 1.285 3.032 -3.612 -0.372 1.812 -1.977 3.896" Properties=species:S:1:pos:R:3 comment="CeUIrPt | Alexandria | GGA-PBE | optimized geometry" spacegroup="No. 216" delta_e_f_ev_per_atom=-0.651 magmom_total_mub_per_atom=0.288 e_tot_ev_per_atom=-8.681 pbc="T T T"
Ir 1.754 -4.971 2.404
U 2.630 -7.456 3.607
Ce 0.000 0.000 0.000
Pt 0.877 -2.485 1.202

***

Entry 11:
20
Lattice="-0.914 -1.433 -3.801 5.772 -7.260 1.349 -7.092 -4.973 3.581" Properties=species:S:1:pos:R:3 comment="Ce2ZnIr2Pt5 | Alexandria | GGA-PBE | optimized geometry" spacegroup="No. 127" delta_e_f_ev_per_atom=-0.683 magmom_total_mub_per_atom=0.000 e_tot_ev_per_atom=-6.789 pbc="T T T"
Ce 2.658 -5.740 1.525
Ce -3.978 -6.493 3.405
Ce -1.327 -2.881 1.405
Ce 0.007 -9.352 3.524
Zn 0.000 0.000 0.000
Zn -0.660 -6.116 2.465
Ir -3.714 -4.047 2.419
Ir 2.394 -8.186 2.510
Ir -2.565 -8.895 3.970
Ir 1.245 -3.338 0.959
Pt 0.239 -2.479 -1.404
Pt -2.473 -11.187 2.532
Pt -5.769 -5.163 1.053
Pt 0.484 -7.960 0.604
Pt 3.535 -8.503 0.075
Pt -2.719 -5.705 0.524
Pt -2.160 -8.286 1.363
Pt -0.074 -5.380 -0.235
Pt 2.429 -4.347 -1.226
Pt -4.003 -3.203 -0.110

***

Entry 12:
11
Lattice="7.358 -0.109 -0.161 -3.499 6.473 0.161 -3.499 -2.230 6.079" Properties=species:S:1:pos:R:3 comment="CePu6Ir4 | Alexandria | GGA-PBE | optimized geometry" spacegroup="No. 121" delta_e_f_ev_per_atom=-0.269 magmom_total_mub_per_atom=3.064 e_tot_ev_per_atom=-11.848 pbc="T T T"
Ce 0.000 0.000 0.000
Pu -4.734 4.189 3.324
Pu -4.734 1.552 5.118
Pu 3.924 0.654 0.961
Pu 1.929 -1.170 2.959
Pu -1.095 1.982 2.916
Pu 1.929 3.182 0.000
Ir -2.892 -0.251 3.941
Ir 1.475 1.454 2.138
Ir -2.892 3.757 1.216
Ir -2.329 3.416 5.024

***

Entry 13:
6
Lattice="-1.824 2.465 2.626 1.473 -3.412 4.227 5.255 3.507 -2.747" Properties=species:S:1:pos:R:3 comment="CePu2Ir3 | Alexandria | GGA-PBE | optimized geometry" spacegroup="No. 71" delta_e_f_ev_per_atom=-0.472 magmom_total_mub_per_atom=1.558 e_tot_ev_per_atom=-10.669 pbc="T T T"
Ce 0.736 -1.706 2.113
Pu 0.756 2.229 1.536
Pu 4.147 0.331 2.570
Ir 3.311 1.978 0.443
Ir 0.000 0.000 0.000
Ir 1.592 0.583 3.663

***

Entry 14:
4
Lattice="4.897 0.000 0.000 2.448 4.241 0.000 2.448 1.414 3.998" Properties=species:S:1:pos:R:3 comment="CePuIr2 | Alexandria | GGA-PBE | optimized geometry" spacegroup="No. 225" delta_e_f_ev_per_atom=-0.547 magmom_total_mub_per_atom=1.323 e_tot_ev_per_atom=-10.043 pbc="T T T"
Ir 2.448 1.414 1.000
Ir 7.345 4.241 2.999
Ce 4.897 2.827 1.999
Pu 0.000 0.000 0.000

***

Entry 15:
24
Lattice="-6.214 -5.387 -2.299 -3.382 -4.705 -7.969 6.684 -8.689 2.292" Properties=species:S:1:pos:R:3 comment="Ce4PuIr | Alexandria | GGA-PBE | optimized geometry" spacegroup="No. 14" delta_e_f_ev_per_atom=-0.177 magmom_total_mub_per_atom=0.883 e_tot_ev_per_atom=-7.998 polymorph_energy_kj_per_mol_fu=0 pbc="T T T"
Ce -1.667 -10.860 -7.266
Ce 0.747 -12.496 -0.793
Ce -3.254 -5.438 -1.643
Ce 1.612 -9.190 -1.686
Ce -0.505 -3.531 -1.423
Ce -2.099 -12.350 -3.849
Ce -3.191 -9.074 -3.702
Ce -0.150 -15.013 -3.425
Ce -2.761 -3.767 -4.551
Ce 0.279 -9.706 -4.274
Ce -0.813 -6.430 -4.127
Ce -2.407 -15.249 -6.552
Ce -4.523 -9.590 -6.290
Ce 0.342 -13.342 -6.333
Ce -3.659 -6.284 -7.183
Ce -1.244 -7.920 -0.710
Pu -1.275 -11.022 -1.712
Pu -4.198 -6.609 -3.822
Pu 1.286 -12.171 -4.154
Pu -1.636 -7.758 -6.264
Ir 3.563 -10.783 -0.175
Ir 0.778 -6.143 -1.824
Ir -3.690 -12.637 -6.152
Ir -6.475 -7.997 -7.800

***

Entry 16:
18
Lattice="6.401 0.000 -0.084 0.000 7.347 0.000 0.340 0.000 9.847" Properties=species:S:1:pos:R:3 comment="Ce6PuIr2 | Alexandria | GGA-PBE | optimized geometry" spacegroup="No. 14" delta_e_f_ev_per_atom=-0.358 magmom_total_mub_per_atom=0.000 e_tot_ev_per_atom=-7.875 pbc="T T T"
Ce 0.964 0.277 2.585
Ce 1.153 2.201 5.561
Ce 1.410 2.547 9.225
Ce 2.301 6.221 5.503
Ce 2.557 5.875 9.167
Ce 2.407 3.950 2.297
Ce 5.778 7.070 7.178
Ce 5.588 5.146 4.202
Ce 5.331 4.800 0.538
Ce 4.441 1.126 4.260
Ce 4.184 1.472 0.595
Ce 4.335 3.397 7.466
Pu 3.201 3.673 -0.042
Pu 0.170 0.000 4.923
Ir 0.573 4.428 7.122
Ir 3.138 0.755 7.606
Ir 3.604 6.592 2.157
Ir 6.168 2.919 2.641

***

Entry 17:
18
Lattice="-0.600 -3.535 2.420 2.005 -5.104 -6.957 8.541 0.157 2.346" Properties=species:S:1:pos:R:3 comment="CePu4Ir4 | Alexandria | GGA-PBE | optimized geometry" spacegroup="No. 86" delta_e_f_ev_per_atom=0.063 magmom_total_mub_per_atom=0.000 e_tot_ev_per_atom=-10.904 pbc="T T T"
Ce 0.000 0.000 0.000
Ce 4.973 -4.241 -1.095
Pu 8.106 -3.549 -0.025
Pu 8.740 -6.253 0.049
Pu 1.951 -4.277 -2.614
Pu 5.407 -0.535 1.276
Pu 6.179 -6.470 -3.335
Pu 5.027 -5.067 -5.438
Pu 0.717 -5.109 -0.269
Pu 3.656 -2.667 1.594
Ir 3.063 -6.443 -4.229
Ir 6.797 -2.547 2.386
Ir 6.710 -3.697 -3.182
Ir 6.117 -5.072 1.285
Ir 3.315 -6.437 -1.403
Ir 1.223 -2.484 -0.014
Ir 8.809 -5.490 -2.525
Ir 3.750 -1.757 -1.082

***

Entry 18:
20
Lattice="-5.882 2.561 -4.858 -8.097 -3.529 1.278 -6.075 5.135 3.398" Properties=species:S:1:pos:R:3 comment="Ce7PuIr2 | Alexandria | GGA-PBE | optimized geometry" spacegroup="No. 15" delta_e_f_ev_per_atom=-0.260 magmom_total_mub_per_atom=0.297 e_tot_ev_per_atom=-7.620 pbc="T T T"
Ce -13.653 4.257 0.329
Ce -7.934 4.050 -3.138
Ce -14.565 2.596 3.161
Ce -6.876 3.024 0.124
Ce -9.560 4.266 0.407
Ce -11.143 3.389 -2.203
Ce -9.048 4.117 3.330
Ce -11.005 0.050 -3.512
Ce -8.911 0.778 2.021
Ce -10.494 -0.099 -0.589
Ce -13.178 1.143 -0.306
Ce -5.489 1.571 -3.343
Ce -12.120 0.117 2.956
Ce -6.401 -0.090 -0.512
Pu -6.733 3.035 2.742
Pu -13.321 1.132 -2.925
Ir -15.857 2.551 0.479
Ir -8.709 1.721 -1.808
Ir -11.345 2.446 1.626
Ir -4.197 1.616 -0.661

***

Entry 19:
8
Lattice="6.229 -0.159 -0.121 -2.465 5.723 -0.121 -0.807 -1.193 6.476" Properties=species:S:1:pos:R:3 comment="Ce6PuIr | Alexandria | GGA-PBE | optimized geometry" spacegroup="No. 12" delta_e_f_ev_per_atom=-0.217 magmom_total_mub_per_atom=0.000 e_tot_ev_per_atom=-7.566 polymorph_energy_kj_per_mol_fu=0 pbc="T T T"
Ce 0.314 0.464 5.025
Ce 1.996 -0.051 1.476
Ce 2.643 3.906 1.210
Ce 3.747 2.536 4.759
Ce 0.960 4.421 4.759
Ce -0.790 1.834 1.476
Pu 0.000 0.000 0.000
Ir 1.478 2.185 3.117

***

Entry 20:
5
Lattice="-4.547 -1.766 -0.112 -1.214 -3.424 -3.257 1.519 -4.163 3.803" Properties=species:S:1:pos:R:3 comment="CePu2Ir2 | Alexandria | GGA-PBE | optimized geometry" spacegroup="No. 164" delta_e_f_ev_per_atom=-0.436 magmom_total_mub_per_atom=2.291 e_tot_ev_per_atom=-10.900 polymorph_energy_kj_per_mol_fu=2 pbc="T T T"
Ce -2.274 -0.883 -0.056
Pu -3.179 -5.398 1.363
Pu -1.063 -3.956 -0.930
Ir -3.931 -3.331 -0.522
Ir -0.311 -6.023 0.956

***

Entry 21:
4
Lattice="-2.611 -1.735 1.679 0.926 -3.004 -1.663 4.640 -1.632 5.529" Properties=species:S:1:pos:R:3 comment="Ce2PuIr | Alexandria | GGA-PBE | optimized geometry" spacegroup="No. 123" delta_e_f_ev_per_atom=-0.275 magmom_total_mub_per_atom=1.344 e_tot_ev_per_atom=-9.040 polymorph_energy_kj_per_mol_fu=17 pbc="T T T"
Ir -0.843 -2.369 0.008
Ce 3.618 -1.272 4.311
Ce 1.022 -0.359 1.218
Pu 1.477 -3.185 2.772

***

Entry 22:
12
Lattice="5.317 0.000 0.000 2.658 4.604 0.000 2.658 1.535 8.849" Properties=species:S:1:pos:R:3 comment="Ce2PuIr9 | Alexandria | GGA-PBE | optimized geometry" spacegroup="No. 166" delta_e_f_ev_per_atom=-0.530 magmom_total_mub_per_atom=0.381 e_tot_ev_per_atom=-9.359 pbc="T T T"
Ce 7.975 4.604 3.680
Ce 2.658 1.535 5.169
Pu 0.000 0.000 0.000
Ir 7.975 4.604 8.846
Ir 2.658 1.535 0.003
Ir 5.317 3.070 4.424
Ir 3.985 2.301 2.182
Ir 6.649 2.301 2.182
Ir 5.317 4.608 2.182
Ir 6.649 3.839 6.667
Ir 5.317 1.531 6.667
Ir 3.985 3.839 6.667